Record 1
! GGA-PBEsol Li2Cu3F7, relaxed; values from VASP
! * E: -4.367 eV/atom
&SYSTEM
  ibrav = 0, nat = 24, ntyp = 3
/
ATOMIC_SPECIES
F 19.00 F.upf
Li 6.94 Li.upf
Cu 63.55 Cu.upf
CELL_PARAMETERS angstrom
2.997 0.000 0.000
0.000 10.102 0.000
0.000 0.000 10.909
ATOMIC_POSITIONS angstrom
F 1.498 3.831 5.696
F 1.498 8.882 10.667
F 1.498 8.952 7.826
F 1.498 1.220 0.242
F 1.498 3.901 8.537
F 1.498 1.150 3.083
F 0.000 1.626 7.259
F 0.000 6.677 9.104
F 1.498 6.201 2.371
F 1.498 6.271 5.212
F 0.000 8.475 3.649
F 1.498 5.051 0.000
F 1.498 0.000 5.454
F 0.000 3.424 1.805
Li 1.498 2.448 1.729
Li 1.498 7.499 3.726
Li 1.498 7.654 9.180
Li 1.498 2.603 7.183
Cu 0.000 5.377 1.435
Cu 0.000 0.000 0.000
Cu 0.000 4.725 9.474
Cu 0.000 0.326 4.020
Cu 0.000 9.776 6.889
Cu 0.000 5.051 5.454

Record 2
! GGA-PBEsol LiCuF3, relaxed; values from VASP
! * E: -4.464 eV/atom
&SYSTEM
  ibrav = 0, nat = 20, ntyp = 3
/
ATOMIC_SPECIES
Cu 63.55 Cu.upf
F 19.00 F.upf
Li 6.94 Li.upf
CELL_PARAMETERS angstrom
-2.737 -0.680 3.984
2.992 -3.951 1.383
4.968 5.271 4.314
ATOMIC_POSITIONS angstrom
Cu 2.987 -3.907 1.397
Cu 0.856 -1.503 3.313
Cu 2.616 0.366 4.841
Cu 6.196 -0.504 4.182
F 5.259 3.601 5.823
F 6.033 0.983 5.471
F 2.358 3.198 6.998
F 4.828 2.193 8.045
F 2.757 -2.688 2.835
F 3.220 0.488 6.649
F 0.727 1.503 5.374
F 1.744 0.245 3.073
F 3.656 1.901 4.430
F 1.686 -1.334 5.071
F -0.881 -0.202 3.979
F 4.361 -0.988 4.226
Li 3.165 -2.530 4.831
Li 1.706 1.498 1.586
Li 2.872 1.762 8.160
Li 4.460 1.855 6.216

Record 3
! GGA-PBEsol Li2CuF5, relaxed; values from VASP
! * E: -4.367 eV/atom
&SYSTEM
  ibrav = 0, nat = 16, ntyp = 3
/
ATOMIC_SPECIES
F 19.00 F.upf
Li 6.94 Li.upf
Cu 63.55 Cu.upf
CELL_PARAMETERS angstrom
2.880 0.000 0.000
0.000 7.143 0.000
0.000 0.000 8.530
ATOMIC_POSITIONS angstrom
F 1.440 6.499 6.018
F 1.440 0.643 2.512
F 0.000 5.951 3.795
F 0.000 1.192 4.735
F 1.440 0.000 0.000
F 1.440 3.571 4.265
F 0.000 4.763 8.060
F 1.440 4.215 1.753
F 1.440 2.928 6.777
F 0.000 2.379 0.470
Li 0.000 0.439 1.213
Li 0.000 6.704 7.317
Li 0.000 4.010 3.052
Li 0.000 3.132 5.478
Cu 1.440 3.571 0.000
Cu 1.440 0.000 4.265

Record 4
! GGA-PBEsol LiCu2F5, relaxed; values from VASP
! * E: -4.348 eV/atom
&SYSTEM
  ibrav = 0, nat = 16, ntyp = 3
/
ATOMIC_SPECIES
F 19.00 F.upf
Cu 63.55 Cu.upf
Li 6.94 Li.upf
CELL_PARAMETERS angstrom
3.902 0.000 0.000
-1.951 4.996 0.000
0.000 0.000 9.691
ATOMIC_POSITIONS angstrom
F 0.000 0.601 5.945
F 1.951 1.778 4.219
F 0.000 2.244 2.423
F 0.000 3.218 5.473
F 1.951 4.395 1.099
F 1.951 4.395 3.746
F 1.951 2.752 7.268
F 0.000 3.218 9.064
F 0.000 0.601 8.592
F 1.951 1.778 0.627
Cu 1.951 3.608 9.035
Cu 1.951 3.608 5.502
Cu 0.000 1.388 4.189
Cu 0.000 1.388 0.657
Li 0.000 1.925 7.268
Li 1.951 3.071 2.423

Record 5
! GGA-PBEsol LiCu3F10, relaxed; values from VASP
! * E: -3.951 eV/atom
&SYSTEM
  ibrav = 0, nat = 28, ntyp = 3
/
ATOMIC_SPECIES
Cu 63.55 Cu.upf
F 19.00 F.upf
Li 6.94 Li.upf
CELL_PARAMETERS angstrom
-1.572 2.138 2.633
-4.912 -4.832 0.990
8.383 -6.643 9.168
ATOMIC_POSITIONS angstrom
Cu 1.806 -3.855 8.660
Cu 2.200 -1.954 2.761
Cu -0.373 -0.834 0.437
Cu 1.757 -9.834 8.279
Cu 0.182 -7.732 5.754
Cu -3.581 -1.709 4.317
F -0.704 -6.747 7.075
F 0.655 -1.664 1.699
F 0.044 -4.284 8.022
F -3.296 -0.125 3.266
F 3.408 -9.137 8.811
F 5.068 -5.739 6.861
F 1.384 -1.026 4.173
F 1.254 -8.519 7.007
F 3.362 -7.360 7.130
F 2.026 -2.391 7.535
F -0.970 -6.914 4.579
F -0.449 -3.663 2.469
F -1.076 0.331 1.721
F 1.128 -8.722 9.653
F -2.877 -2.752 2.932
F -5.240 -2.094 3.571
F 1.630 -3.441 3.741
F 2.552 -4.856 7.266
F -2.083 -5.328 2.874
F 6.968 -6.551 8.408
Li 1.182 -2.664 5.561
Li 3.010 -8.310 10.621

Record 6
! GGA-PBEsol Li2Cu3F8, relaxed; values from VASP
! * E: -4.361 eV/atom
&SYSTEM
  ibrav = 0, nat = 13, ntyp = 3
/
ATOMIC_SPECIES
F 19.00 F.upf
Li 6.94 Li.upf
Cu 63.55 Cu.upf
CELL_PARAMETERS angstrom
-1.200 3.958 -3.384
1.984 0.102 -5.474
-4.326 -2.026 -2.724
ATOMIC_POSITIONS angstrom
F -2.744 -0.281 -7.481
F -3.727 1.724 -5.542
F 0.048 -0.077 -5.838
F -3.585 1.825 -9.097
F -1.132 2.612 -4.774
F -1.421 2.091 -7.245
F -2.419 0.158 -3.842
F -0.553 1.251 -2.173
Li -3.121 -0.369 -5.637
Li 0.215 2.010 -6.111
Cu -1.653 1.819 -9.073
Cu -1.100 -0.515 -2.690
Cu 0.722 4.008 -8.844

Record 7
! GGA-PBEsol LiCuF3, relaxed; values from VASP
! * E: -4.424 eV/atom
&SYSTEM
  ibrav = 0, nat = 20, ntyp = 3
/
ATOMIC_SPECIES
Li 6.94 Li.upf
Cu 63.55 Cu.upf
F 19.00 F.upf
CELL_PARAMETERS angstrom
4.932 -0.087 0.000
-0.364 4.920 0.000
0.000 0.000 8.712
ATOMIC_POSITIONS angstrom
Li 2.456 0.011 4.356
Li 4.695 2.380 4.356
Li 2.251 2.448 4.356
Li -0.130 4.698 0.000
Cu 2.236 2.462 1.494
Cu 4.893 -0.050 2.770
Cu 2.236 2.462 7.217
Cu 4.893 -0.050 5.941
F 1.255 3.389 5.679
F 3.127 1.619 0.000
F 0.857 0.961 4.356
F 0.909 0.994 1.470
F 3.657 3.922 4.356
F 3.627 3.869 1.470
F 0.909 0.994 7.242
F 3.276 1.479 5.651
F 3.627 3.869 7.242
F 1.269 3.376 0.000
F 3.276 1.479 3.061
F 1.255 3.389 3.032

Record 8
! GGA-PBEsol LiCuRe2F, relaxed; values from VASP
! * E: -5.142 eV/atom
&SYSTEM
  ibrav = 0, nat = 5, ntyp = 4
/
ATOMIC_SPECIES
F 19.00 F.upf
Cu 63.55 Cu.upf
Re 186.21 Re.upf
Li 6.94 Li.upf
CELL_PARAMETERS angstrom
3.745 0.000 0.000
0.000 4.185 0.000
0.000 0.000 4.185
ATOMIC_POSITIONS angstrom
F 1.872 2.092 2.092
Cu 1.872 0.000 0.000
Re 0.000 0.000 2.092
Re 0.000 2.092 0.000
Li 0.000 0.000 0.000

Record 9
! GGA-PBEsol Li2CuRuF, relaxed; values from VASP
! * E: -3.551 eV/atom
&SYSTEM
  ibrav = 0, nat = 5, ntyp = 4
/
ATOMIC_SPECIES
F 19.00 F.upf
Li 6.94 Li.upf
Cu 63.55 Cu.upf
Ru 101.07 Ru.upf
CELL_PARAMETERS angstrom
4.548 0.000 0.000
0.000 4.548 0.000
0.000 0.000 4.494
ATOMIC_POSITIONS angstrom
F 2.274 2.274 2.247
Li 2.274 0.000 0.000
Li 0.000 2.274 0.000
Cu 0.000 0.000 0.000
Ru 0.000 0.000 2.247

Record 10
! GGA-PBEsol MgCuF4, relaxed; values from VASP
! * E: -4.741 eV/atom
&SYSTEM
  ibrav = 0, nat = 12, ntyp = 3
/
ATOMIC_SPECIES
Mg 24.30 Mg.upf
Cu 63.55 Cu.upf
F 19.00 F.upf
CELL_PARAMETERS angstrom
5.019 0.000 0.000
0.000 5.019 0.000
-2.510 -2.510 4.943
ATOMIC_POSITIONS angstrom
Mg 2.510 2.510 2.472
Mg 0.000 0.000 2.472
Cu 0.000 2.510 0.000
Cu 2.510 0.000 0.000
F 4.064 3.465 1.331
F 0.956 -1.554 3.613
F 1.554 0.956 3.613
F 3.465 0.956 1.331
F -1.554 -0.956 3.613
F 1.554 4.064 1.331
F -0.956 1.554 3.613
F 0.956 1.554 1.331

Record 11
! GGA-PBEsol MgCuOF2, relaxed; values from VASP
! * E: -4.541 eV/atom
&SYSTEM
  ibrav = 0, nat = 5, ntyp = 4
/
ATOMIC_SPECIES
Cu 63.55 Cu.upf
F 19.00 F.upf
O 16.00 O.upf
Mg 24.30 Mg.upf
CELL_PARAMETERS angstrom
3.841 0.000 0.000
0.000 3.841 0.000
0.000 0.000 3.838
ATOMIC_POSITIONS angstrom
Cu 0.000 0.000 0.000
F 0.000 1.921 0.000
F 1.921 0.000 0.000
O 0.000 0.000 1.919
Mg 1.921 1.921 1.919

Record 12
! GGA-PBEsol Mn2Cu2F, relaxed; values from VASP
! * E: -5.795 eV/atom
&SYSTEM
  ibrav = 0, nat = 5, ntyp = 3
/
ATOMIC_SPECIES
Mn 54.94 Mn.upf
Cu 63.55 Cu.upf
F 19.00 F.upf
CELL_PARAMETERS angstrom
3.001 0.000 0.000
0.000 3.001 0.000
-1.501 -1.501 6.664
ATOMIC_POSITIONS angstrom
Mn 0.000 1.501 3.332
Mn 1.501 0.000 3.332
Cu 1.501 1.501 1.322
Cu 0.000 0.000 5.342
F 0.000 0.000 0.000

Which of these has the highest E? Li2CuRuF